# Li3FeF6 (PBE with a Hubbard U, optimized geometry)
# Electronic total energy: -4.959 eV per atom
# ρ: 3.01 g cm⁻³
# Total moment: 4.90 μB/f.u.
# ΔE to the lowest computed polymorph: 0.074 eV/atom
data_Li3FeF6
_chemical_formula_sum 'Li3 Fe1 F6'
_cell_length_a 4.9633
_cell_length_b 4.9633
_cell_length_c 4.9231
_cell_angle_alpha 90.00
_cell_angle_beta 90.00
_cell_angle_gamma 120.00
_symmetry_space_group_name_H-M 'P -3 1 m'
_symmetry_Int_Tables_number 162
_symmetry_space_group_name_Hall '-P 3 2'
loop_
_atom_site_label
_atom_site_type_symbol
_atom_site_fract_x
_atom_site_fract_y
_atom_site_fract_z
Li1 Li 0.0000 0.0000 0.0000
Li2 Li 0.3333 0.6667 0.0000
Fe1 Fe 0.0000 0.0000 0.5000
F1 F 0.0000 0.3066 0.7576